## LiCoIrO6 (GGA+U)

Data for an optimized crystal structure of LiCoIrO6.

abc: 5.0041 5.0041 9.0100
angles: 90.00 90.00 120.00
Closest atoms and distances in Å follow each position.
Fractional coordinates of all 18 atoms:
O 0.9955 0.3665 0.1358  1 Co 1.88, 1 Ir 1.91
Co 0.3333 0.6667 0.7500  6 O 1.88
Ir 0.6667 0.3333 0.7500  6 O 1.91
O 0.0045 0.6335 0.8642  1 Co 1.88, 1 Ir 1.91
O 0.6335 0.0045 0.3642  1 Co 1.88, 1 Ir 1.91
Ir 0.3333 0.6667 0.2500  6 O 1.91
O 0.0045 0.3710 0.6358  1 Co 1.88, 1 Ir 1.91
O 0.3665 0.3710 0.8642  1 Co 1.88, 1 Ir 1.91
O 0.6290 0.6335 0.6358  1 Co 1.88, 1 Ir 1.91
Co 0.6667 0.3333 0.2500  6 O 1.88
O 0.6290 0.9955 0.8642  1 Co 1.88, 1 Ir 1.91
Li 0.0000 0.0000 0.5000  6 O 2.21
O 0.9955 0.6290 0.3642  1 Co 1.88, 1 Ir 1.91
O 0.3710 0.3665 0.3642  1 Co 1.88, 1 Ir 1.91
O 0.3710 0.0045 0.1358  1 Co 1.88, 1 Ir 1.91
O 0.3665 0.9955 0.6358  1 Co 1.88, 1 Ir 1.91
O 0.6335 0.6290 0.1358  1 Co 1.88, 1 Ir 1.91
Li 0.0000 0.0000 0.0000  6 O 2.21

Properties
Electronic total energy (eV/atom): -5.84
Density (g/cm3): 6.018
Crystal system: trigonal
Volume (Å³/cell): 195